1.
Computed, not measured: a relaxed structure of VSbN2O at the PBE with a Hubbard U level of DFT.

abc: 3.946 3.946 3.721
angles: 90.00 90.00 90.00
Fractional coordinates of all 5 atoms:
N 0.000 0.500 0.000
Sb 0.500 0.500 0.500
O 0.000 0.000 0.500
N 0.500 0.000 0.000
V 0.000 0.000 0.000

- E_tot: -32.84 eV per cell
- D(E_F): 1.799 states/eV per cell



2.
Computed, not measured: a relaxed structure of VSbN2O at the PBE with a Hubbard U level of DFT.

abc: 4.045 4.045 3.880
angles: 90.00 90.00 90.00
Last column: magnetic moment on the atom in μB.
Fractional coordinates of all 5 atoms:
N 0.500 0.000 0.000  -0.21
Sb 0.000 0.000 0.000  0.01
N 0.000 0.500 0.000  -0.21
V 0.500 0.500 0.500  2.58
O 0.000 0.000 0.500  -0.01

- E_tot: -30.28 eV per cell
- D(E_F): 1.871 states/eV per cell



3.
Computed, not measured: a relaxed structure of SbWNO6 at the PBE with a Hubbard U level of DFT.

abc: 7.385 7.385 7.385
angles: 120.57 119.67 89.79
Last column: magnetic moment on the atom in μB.
Fractional coordinates of all 18 atoms:
O 0.682 0.938 0.372  0.14
N 0.620 0.370 0.250  1.91
N 0.380 0.630 0.750  1.91
O 0.066 0.310 0.128  0.14
W 0.000 0.000 0.000  -0.06
O 0.318 0.062 0.628  0.14
Sb 0.000 0.500 0.000  -0.01
O 0.925 0.675 0.250  0.21
O 0.075 0.325 0.750  0.21
O 0.934 0.690 0.872  0.14
O 0.682 0.310 0.744  0.14
O 0.934 0.062 0.244  0.14
O 0.318 0.690 0.256  0.14
W 0.500 0.000 0.500  -0.06
O 0.306 0.056 0.250  0.08
O 0.694 0.944 0.750  0.08
O 0.066 0.938 0.756  0.14
Sb 0.000 0.000 0.500  -0.01

- E_tot: -110.73 eV per cell
- D(E_F): 22.598 states/eV per cell



4.
Computed, not measured: a relaxed structure of SbWN2O at the PBE with a Hubbard U level of DFT.

abc: 4.081 4.081 3.919
angles: 90.00 90.00 90.00
Last column: magnetic moment on the atom in μB.
Fractional coordinates of all 5 atoms:
N 0.000 0.500 0.000  -0.03
Sb 0.500 0.500 0.500  0.01
W 0.000 0.000 0.000  0.34
N 0.500 0.000 0.000  -0.03
O 0.000 0.000 0.500  -0.01

- E_tot: -32.94 eV per cell
- D(E_F): 1.094 states/eV per cell



5.
Computed, not measured: a relaxed structure of SbWN2O at the PBE with a Hubbard U level of DFT.

abc: 4.091 4.091 3.863
angles: 90.00 90.00 90.00
Last column: magnetic moment on the atom in μB.
Fractional coordinates of all 5 atoms:
N 0.000 0.500 0.000  -0.13
N 0.500 0.000 0.000  -0.13
Sb 0.000 0.000 0.000  0.03
O 0.000 0.000 0.500  0.08
W 0.500 0.500 0.500  2.93

- E_tot: -29.06 eV per cell
- D(E_F): 0.535 states/eV per cell



Copy entry 3 word for word.
Computed, not measured: a relaxed structure of SbWNO6 at the PBE with a Hubbard U level of DFT.

abc: 7.385 7.385 7.385
angles: 120.57 119.67 89.79
Last column: magnetic moment on the atom in μB.
Fractional coordinates of all 18 atoms:
O 0.682 0.938 0.372  0.14
N 0.620 0.370 0.250  1.91
N 0.380 0.630 0.750  1.91
O 0.066 0.310 0.128  0.14
W 0.000 0.000 0.000  -0.06
O 0.318 0.062 0.628  0.14
Sb 0.000 0.500 0.000  -0.01
O 0.925 0.675 0.250  0.21
O 0.075 0.325 0.750  0.21
O 0.934 0.690 0.872  0.14
O 0.682 0.310 0.744  0.14
O 0.934 0.062 0.244  0.14
O 0.318 0.690 0.256  0.14
W 0.500 0.000 0.500  -0.06
O 0.306 0.056 0.250  0.08
O 0.694 0.944 0.750  0.08
O 0.066 0.938 0.756  0.14
Sb 0.000 0.000 0.500  -0.01

- E_tot: -110.73 eV per cell
- D(E_F): 22.598 states/eV per cell